Record 1
An optimized crystal structure of Pm3ScIr8. Source: Alexandria via LeMat-Bulk, functional PBE.

abc: 9.312 9.312 9.312
angles: 33.59 33.59 33.59
Atoms (fractional coordinates):
Pm (0.000, 0.000, 0.000)
Pm (0.126, 0.126, 0.126)
Pm (0.623, 0.623, 0.623)
Sc (0.498, 0.498, 0.498)
Ir (0.061, 0.061, 0.560)
Ir (0.061, 0.560, 0.061)
Ir (0.065, 0.563, 0.563)
Ir (0.312, 0.312, 0.312)
Ir (0.560, 0.061, 0.061)
Ir (0.563, 0.065, 0.563)
Ir (0.563, 0.563, 0.065)
Ir (0.812, 0.812, 0.812)

Computed properties:
E_tot in eV per atom: -8.342


Record 2
An optimized crystal structure of Pm3Sc7Ir4. Source: Alexandria via LeMat-Bulk, functional PBE.

abc: 8.667 8.667 10.651
angles: 125.77 125.77 29.85
Atoms (fractional coordinates):
Pm (0.000, 0.000, 0.000)
Pm (0.307, 0.307, 0.305)
Pm (0.693, 0.693, 0.695)
Sc (0.000, 0.000, 0.500)
Sc (0.166, 0.166, 0.421)
Sc (0.305, 0.305, 0.969)
Sc (0.492, 0.492, 0.713)
Sc (0.508, 0.508, 0.287)
Sc (0.695, 0.695, 0.031)
Sc (0.834, 0.834, 0.579)
Ir (0.105, 0.105, 0.843)
Ir (0.329, 0.329, 0.721)
Ir (0.671, 0.671, 0.279)
Ir (0.895, 0.895, 0.157)

Computed properties:
E_tot in eV per atom: -7.305


Record 3
An optimized crystal structure of PmScSiIr. Source: Alexandria via LeMat-Bulk, functional PBE.

abc: 4.856 4.856 4.856
angles: 60.00 60.00 60.00
Atoms (fractional coordinates):
Pm (0.000, 0.000, 0.000)
Sc (0.500, 0.500, 0.500)
Si (0.250, 0.250, 0.250)
Ir (0.750, 0.750, 0.750)

Computed properties:
Formation energy from raw total energies in eV per atom: -0.530


Record 4
An optimized crystal structure of Pm2ScSi4Ir3. Source: Alexandria via LeMat-Bulk, functional PBE.

abc: 4.175 4.175 10.503
angles: 90.00 90.00 90.00
Atoms (fractional coordinates):
Pm (0.000, 0.500, 0.236)
Pm (0.500, 0.000, 0.764)
Sc (0.000, 0.000, 0.500)
Si (0.000, 0.000, 0.000)
Si (0.000, 0.500, 0.654)
Si (0.500, 0.000, 0.346)
Si (0.500, 0.500, 0.000)
Ir (0.000, 0.500, 0.883)
Ir (0.500, 0.000, 0.117)
Ir (0.500, 0.500, 0.500)

Computed properties:
Formation energy from raw total energies in eV per atom: -0.943


Record 5
An optimized crystal structure of Pm7IrSe5. Source: Alexandria via LeMat-Bulk, functional PBE.

abc: 7.234 7.234 25.047
angles: 90.00 90.00 147.42
Atoms (fractional coordinates):
Pm (0.046, 0.954, 0.500)
Pm (0.130, 0.870, 0.784)
Pm (0.149, 0.851, 0.211)
Pm (0.287, 0.713, 0.568)
Pm (0.303, 0.697, 0.431)
Pm (0.399, 0.601, 0.870)
Pm (0.427, 0.573, 0.141)
Pm (0.573, 0.427, 0.641)
Pm (0.601, 0.399, 0.370)
Pm (0.697, 0.303, 0.931)
Pm (0.713, 0.287, 0.068)
Pm (0.851, 0.149, 0.711)
Pm (0.870, 0.130, 0.284)
Pm (0.954, 0.046, 0.000)
Ir (0.310, 0.690, 0.988)
Ir (0.690, 0.310, 0.488)
Se (0.048, 0.952, 0.893)
Se (0.065, 0.935, 0.104)
Se (0.212, 0.788, 0.676)
Se (0.231, 0.769, 0.321)
Se (0.487, 0.513, 0.753)
Se (0.513, 0.487, 0.253)
Se (0.769, 0.231, 0.821)
Se (0.788, 0.212, 0.176)
Se (0.935, 0.065, 0.604)
Se (0.952, 0.048, 0.393)

Computed properties:
Formation energy from raw total energies in eV per atom: -1.520


Record 6
An optimized crystal structure of PmIrSe2. Source: Alexandria via LeMat-Bulk, functional PBE.

abc: 8.625 8.625 8.625
angles: 25.55 25.55 25.55
Atoms (fractional coordinates):
Pm (0.000, 0.000, 0.000)
Ir (0.500, 0.500, 0.500)
Se (0.117, 0.117, 0.117)
Se (0.883, 0.883, 0.883)

Computed properties:
Formation energy from raw total energies in eV per atom: -0.364


Record 7
An optimized crystal structure of Pm6Ir3Se. Source: Alexandria via LeMat-Bulk, functional PBE.

abc: 11.933 4.160 11.982
angles: 90.00 108.29 90.00
Atoms (fractional coordinates):
Pm (0.042, 0.250, 0.408)
Pm (0.113, 0.250, 0.967)
Pm (0.205, 0.750, 0.272)
Pm (0.248, 0.750, 0.781)
Pm (0.369, 0.250, 0.557)
Pm (0.433, 0.750, 0.103)
Pm (0.567, 0.250, 0.897)
Pm (0.631, 0.750, 0.443)
Pm (0.752, 0.250, 0.219)
Pm (0.795, 0.250, 0.728)
Pm (0.887, 0.750, 0.033)
Pm (0.958, 0.750, 0.592)
Ir (0.029, 0.250, 0.173)
Ir (0.195, 0.750, 0.517)
Ir (0.344, 0.250, 0.936)
Ir (0.656, 0.750, 0.064)
Ir (0.805, 0.250, 0.483)
Ir (0.971, 0.750, 0.827)
Se (0.427, 0.250, 0.327)
Se (0.573, 0.750, 0.673)

Computed properties:
Formation energy from raw total energies in eV per atom: -0.814


Record 8
An optimized crystal structure of Pm6Te3IrSe2. Source: Alexandria via LeMat-Bulk, functional PBE.

abc: 9.781 9.781 8.860
angles: 103.83 103.83 25.12
Atoms (fractional coordinates):
Pm (0.002, 0.002, 0.216)
Pm (0.329, 0.329, 0.432)
Pm (0.345, 0.345, 0.910)
Pm (0.655, 0.655, 0.090)
Pm (0.671, 0.671, 0.568)
Pm (0.998, 0.998, 0.784)
Te (0.172, 0.172, 0.831)
Te (0.500, 0.500, 0.500)
Te (0.828, 0.828, 0.169)
Ir (0.500, 0.500, 0.000)
Se (0.167, 0.167, 0.334)
Se (0.833, 0.833, 0.666)

Computed properties:
Formation energy from raw total energies in eV per atom: -1.457


> Which formula does entry 8 have?

Pm6Te3IrSe2